Sc2OsPt (PBE-GGA, relaxed); crystal system = tetragonal; space group = No. 123; calculated formation energy = -0.897 eV per atom; V = 69 Å³/cell; excess energy over the best structure of this formula in the dataset = 0.0 meV/atom; magnetization = 0.0 μB per cell
1.0
-2.850 -0.908 1.364
1.595 -2.160 1.897
0.717 4.447 4.460
Sc Pt Os
2 1 1
Direct
0.000 0.000 0.493
0.000 0.000 0.007
0.500 0.500 0.750
0.500 0.500 0.250